! Y2Fe17N3, optimized geometry, DFT PBEsol; values from VASP
&SYSTEM
  ibrav = 0, nat = 44, ntyp = 3
/
ATOMIC_SPECIES
Y 88.91 Y.upf
Fe 55.84 Fe.upf
N 14.01 N.upf
CELL_PARAMETERS angstrom
-7.710 1.430 2.422
-0.636 -7.996 2.699
2.769 6.031 5.252
ATOMIC_POSITIONS angstrom
Y -0.294 1.713 5.006
Y -5.284 -2.247 5.366
Y -1.928 0.358 0.605
Y -5.783 1.073 1.816
Fe -0.815 -3.472 6.410
Fe -4.763 2.938 3.962
Fe -2.206 -4.699 2.706
Fe -3.557 1.828 8.456
Fe -3.371 4.165 7.667
Fe -2.020 -2.362 1.917
Fe -1.265 -0.716 3.350
Fe -3.953 4.701 5.497
Fe -4.313 0.182 7.023
Fe -1.624 -5.235 4.875
Fe -4.936 0.756 4.699
Fe -0.641 -1.291 5.674
Fe -5.242 2.631 6.560
Fe -0.336 -3.165 3.812
Fe -2.521 -2.760 4.498
Fe -3.056 2.226 5.874
Fe -1.818 0.404 7.313
Fe -3.760 -0.939 3.060
Fe -2.869 1.373 3.392
Fe -7.300 -0.282 4.172
Fe -2.708 -1.907 6.980
Fe 1.722 -0.252 6.201
Fe -1.504 4.347 5.982
Fe -6.248 -1.251 8.092
Fe -4.073 -4.881 4.391
Fe 0.671 0.716 2.280
Fe -7.613 -4.224 5.503
Fe 2.036 3.690 4.870
Fe -2.471 3.731 3.837
Fe -4.173 -3.283 2.560
Fe 1.384 3.016 2.626
Fe -2.789 -0.267 5.186
Fe -0.318 -3.998 1.349
Fe 1.066 -0.982 3.975
N -0.041 0.032 6.803
N -5.536 -0.566 3.569
N -1.121 1.027 2.778
N -4.457 -1.561 7.594
N 0.281 4.080 5.437
N -5.858 -4.615 4.935
! Calculated volume   11.6 Å³/atom
! Crystal system   hexagonal
! Uncorrected energy   -0.32961 hartree per atom
! Formation energy (no corrections)   -5.7 eV per formula unit